DFT (SCAN) results for a crystal of CaRhNO2 relaxed with PBEsol.

- formation energy from raw total energies (meV per atom) = 718
- D(E_F) (states/eV per cell) = 3.6

Geometry as POSCAR:
```
CaRhNO2
1.0
4.184 0.000 0.000
0.000 4.184 0.000
0.000 0.000 4.403
Rh O Ca N
1 2 1 1
direct
0.500 0.500 0.500
0.000 0.500 0.000
0.500 0.000 0.000
0.000 0.000 0.000
0.000 0.000 0.500
```